Material: InTcI2Cl
Method: DFT, PBE
State: optimized geometry

VASP energy: -3.4665 eV per atom
Space-group type: P4/mmm, No. 123

Lattice parameters (Å, degrees): 5.244 5.244 5.597 90.00 90.00 90.00
Fractional positions:
In  0.000  0.000  0.000
Tc  0.000  0.000  0.500
I  0.000  0.500  0.500
I  0.500  0.000  0.500
Cl  0.500  0.500  0.000